# 1
Below is a relaxed structure of BaCr2H2Se6, with properties calculated at the PBE level.

a b c (Å): 6.797 7.417 7.255
angles (deg): 123.43 80.02 72.79
Fractional positions:
Ba  0.500  0.000  0.500
Cr  0.817  0.351  0.851
Cr  0.183  0.649  0.149
H  0.063  0.748  0.702
H  0.937  0.252  0.298
Se  0.487  0.690  0.954
Se  0.941  0.454  0.179
Se  0.091  0.885  0.603
Se  0.059  0.546  0.821
Se  0.909  0.115  0.397
Se  0.513  0.310  0.046

calculated density	4.504	Mg/m³
total energy	-54.3	eV for the cell shown
symmetry	P-1
DOS at the Fermi energy	3.8	states/eV/f.u.

***

# 2
Below is a relaxed structure of BaTi2CrH, with properties calculated at the PBE level.

a b c (Å): 4.309 7.057 4.309
angles (deg): 90.00 90.00 90.00
Fractional positions:
Cr  0.000  0.000  0.000
Ba  0.000  0.500  0.000
H  0.500  0.500  0.500
Ti  0.000  0.000  0.500
Ti  0.500  0.000  0.000

calculated density	3.625	Mg/m³
total energy	-26.4	eV for the cell shown
symmetry	P4/mmm
DOS at the Fermi energy	15.4	states/eV/f.u.

***

# 3
Below is a relaxed structure of BaZnCrH6, with properties calculated at the PBE level.

a b c (Å): 4.696 4.697 5.116
angles (deg): 90.00 90.00 60.00
Fractional positions:
Ba  0.000  0.000  0.000
Zn  0.667  0.667  0.500
Cr  0.333  0.333  0.500
H  0.028  0.486  0.272
H  0.486  0.028  0.728
H  0.486  0.486  0.728
H  0.028  0.486  0.728
H  0.486  0.486  0.272
H  0.486  0.028  0.272

calculated density	4.431	Mg/m³
total energy	-34.7	eV for the cell shown
symmetry	P-6m2
DOS at the Fermi energy	1.2	states/eV/f.u.

***

# 4
Below is a relaxed structure of BaHfCr3, with properties calculated at the PBE level.

a b c (Å): 5.124 5.124 5.124
angles (deg): 90.00 90.00 90.00
Fractional positions:
Cr  0.000  0.500  0.000
Cr  0.000  0.000  0.500
Cr  0.500  0.000  0.000
Hf  0.000  0.000  0.000
Ba  0.500  0.500  0.500

calculated density	5.825	Mg/m³
energy above the lowest structure with this stoichiometry	0	meV/atom
symmetry	Pm-3m
E_form	1.26	eV/atom
DOS at the Fermi energy	5.4	states/eV/f.u.